1.
This record from the Alexandria database describes a geometry-optimized Ba2ScSb3Pd4 structure. The functional is PBE.

Formation energy (no corrections)   -79.88 kJ per mole of atoms
Symmetry   P-4m2 (115)
Volume   24.6 A^3/atom

The structure in POSCAR format:
```
Ba2ScSb3Pd4
1.0
-2.451 3.328 -2.189
-3.962 -1.772 1.743
0.988 6.664 9.023
Ba Sc Sb Pd
2 1 3 4
direct
0.500 0.000 0.237 Ba
0.000 0.500 0.763 Ba
0.500 0.500 0.500 Sc
0.000 0.000 0.500 Sb
0.500 0.000 0.875 Sb
0.000 0.500 0.125 Sb
0.500 0.500 0.000 Pd
0.000 0.000 0.000 Pd
0.500 0.000 0.631 Pd
0.000 0.500 0.369 Pd
```

---

2.
This record from the Alexandria database describes a geometry-optimized Ba2SmSb4Pd3 structure. The functional is PBE.

Formation energy (no corrections)   -82.66 kJ per mole of atoms
Symmetry   P-4m2 (115)
Volume   27.5 A^3/atom

The structure in POSCAR format:
```
Ba2SmSb4Pd3
1.0
-0.486 -1.209 -4.595
3.098 -3.583 0.615
-9.082 -7.355 2.896
Ba Sm Sb Pd
2 1 4 3
direct
0.500 0.000 0.233 Ba
0.000 0.500 0.767 Ba
0.500 0.500 0.500 Sm
0.500 0.500 0.000 Sb
0.000 0.000 0.000 Sb
0.500 0.000 0.654 Sb
0.000 0.500 0.346 Sb
0.000 0.000 0.500 Pd
0.500 0.000 0.887 Pd
0.000 0.500 0.113 Pd
```

---

3.
This record from the Alexandria database describes a geometry-optimized BaSmSb2Pd5 structure. The functional is PBE.

Formation energy (no corrections)   -52.80 kJ per mole of atoms
Symmetry   P4/mmm (123)
Volume   26.3 A^3/atom

The structure in POSCAR format:
```
BaSmSb2Pd5
1.0
5.006 0.000 0.000
0.000 5.006 0.000
0.000 0.000 9.438
Ba Sm Sb Pd
1 1 2 5
direct
0.000 0.000 0.500 Ba
0.000 0.000 0.000 Sm
0.500 0.500 0.228 Sb
0.500 0.500 0.772 Sb
0.000 0.500 0.161 Pd
0.500 0.000 0.161 Pd
0.000 0.500 0.839 Pd
0.500 0.000 0.839 Pd
0.500 0.500 0.500 Pd
```

---

4.
This record from the Alexandria database describes a geometry-optimized BaSmSb2Pd2 structure. The functional is PBE.

Formation energy (no corrections)   -96.52 kJ per mole of atoms
Symmetry   P-3m1 (164)
Volume   26.8 A^3/atom

The structure in POSCAR format:
```
BaSmSb2Pd2
1.0
-0.862 4.514 1.172
-2.957 -3.426 1.421
4.425 -0.950 6.917
Ba Sm Sb Pd
1 1 2 2
direct
0.000 0.000 0.000 Ba
0.000 0.000 0.500 Sm
0.333 0.667 0.282 Sb
0.667 0.333 0.718 Sb
0.333 0.667 0.675 Pd
0.667 0.333 0.325 Pd
```

---

5.
This record from the Alexandria database describes a geometry-optimized BaSn2SbPd2 structure. The functional is PBE.

Formation energy (no corrections)   -35.90 kJ per mole of atoms
Symmetry   P4/mmm (123)
Volume   28.9 A^3/atom

The structure in POSCAR format:
```
BaSn2SbPd2
1.0
5.088 0.000 0.000
0.000 5.088 0.000
0.000 0.000 6.704
Ba Sn Sb Pd
1 2 1 2
direct
0.000 0.000 0.500 Ba
0.500 0.500 0.763 Sn
0.500 0.500 0.237 Sn
0.000 0.000 0.000 Sb
0.500 0.000 0.000 Pd
0.000 0.500 0.000 Pd
```

---

6.
This record from the Alexandria database describes a geometry-optimized Ba2SnSb4Pd3 structure. The functional is PBE.

Formation energy (no corrections)   -65.14 kJ per mole of atoms
Symmetry   P-4m2 (115)
Volume   26.7 A^3/atom

The structure in POSCAR format:
```
Ba2SnSb4Pd3
1.0
-3.426 0.035 -3.510
-3.476 -0.715 3.386
-1.102 10.968 1.184
Ba Sn Sb Pd
2 1 4 3
direct
0.500 0.000 0.242 Ba
0.000 0.500 0.758 Ba
0.500 0.500 0.500 Sn
0.500 0.500 0.000 Sb
0.000 0.000 0.000 Sb
0.500 0.000 0.644 Sb
0.000 0.500 0.356 Sb
0.000 0.000 0.500 Pd
0.500 0.000 0.887 Pd
0.000 0.500 0.113 Pd
```

---

In order of appearance, total energy = -5.159 -4.920 -5.086 -5.212 -4.445 -4.667 eV per atom.